(1)
Material: CsMgAsH12O10
Method: DFT, meta-GGA SCAN
State: PBEsol geometry

## Properties
* E_tot: -8.0572 eV/atom
* volume: 260.9 Å³/cell
* space group: F-43m (216)
* N(E_F): 0.00 states/eV/f.u.

a b c (Å): 7.1722 7.1722 7.1722
angles (deg): 60.00 60.00 60.00
Last column: nearest neighbours and their distance in Å.
Element x y z (fractional)
Cs (0.0000, 0.0000, 0.0000)  12 O 3.62, 24 H 3.68
Mg (0.7500, 0.7500, 0.7500)  6 O 2.08
As (0.5000, 0.5000, 0.5000)  4 O 1.71
H (0.1273, 0.4877, 0.4877)  1 O 1.01
H (0.1273, 0.4877, 0.8972)  1 O 1.01
H (0.1273, 0.8972, 0.4877)  1 O 1.01
H (0.4877, 0.1273, 0.4877)  1 O 1.01
H (0.4877, 0.1273, 0.8972)  1 O 1.01
H (0.4877, 0.4877, 0.1273)  1 O 1.01
H (0.4877, 0.4877, 0.8972)  1 O 1.01
H (0.4877, 0.8972, 0.1273)  1 O 1.01
H (0.4877, 0.8972, 0.4877)  1 O 1.01
H (0.8972, 0.1273, 0.4877)  1 O 1.01
H (0.8972, 0.4877, 0.1273)  1 O 1.01
H (0.8972, 0.4877, 0.4877)  1 O 1.01
O (0.4024, 0.4024, 0.4024)  3 H 1.61, 1 As 1.71
O (0.4024, 0.4024, 0.7928)  3 H 1.61, 1 As 1.71
O (0.4024, 0.7928, 0.4024)  3 H 1.61, 1 As 1.71
O (0.5450, 0.5450, 0.9550)  2 H 1.01
O (0.5450, 0.9550, 0.5450)  2 H 1.01
O (0.5450, 0.9550, 0.9550)  2 H 1.01
O (0.7928, 0.4024, 0.4024)  3 H 1.61, 1 As 1.71
O (0.9550, 0.5450, 0.5450)  2 H 1.01
O (0.9550, 0.5450, 0.9550)  2 H 1.01
O (0.9550, 0.9550, 0.5450)  2 H 1.01

(2)
Material: Cr2GeP2
Method: DFT, meta-GGA SCAN
State: PBEsol geometry

## Properties
* ΔE_f: -0.07 eV/atom
* volume: 63.0 Å³/cell
* space group: I4/mmm (139)
* N(E_F): 1.60 states/eV/f.u.

a b c (Å): 6.3076 6.3076 6.3076
angles (deg): 149.89 149.89 43.10
Last column: nearest neighbours and their distance in Å.
Element x y z (fractional)
Cr (0.1139, 0.1139, 0.0000)  4 P 2.29
Cr (0.8861, 0.8861, 0.0000)  4 P 2.29
Ge (0.5000, 0.5000, 0.0000)  8 Cr 2.67
P (0.2500, 0.7500, 0.5000)  4 Cr 2.29, 4 P 2.32
P (0.7500, 0.2500, 0.5000)  4 Cr 2.29, 4 P 2.32

(3)
Material: ZnHgOs2
Method: DFT, meta-GGA SCAN
State: PBEsol geometry

## Properties
* ΔE_f: 0.71 eV/atom
* distance to the lowest polymorph of the same formula: 272 meV/atom
* volume: 61.3 Å³/cell
* space group: Pmmm (47)
* N(E_F): 2.58 states/eV/f.u.

a b c (Å): 2.8184 4.6499 4.6782
angles (deg): 90.00 90.00 90.00
Last column: nearest neighbours and their distance in Å.
Element x y z (fractional)
Zn (0.0000, 0.0000, 0.0000)  4 Hg 2.72, 4 Os 2.73, 2 Zn 2.82
Hg (0.5000, 0.5000, 0.0000)  4 Zn 2.72, 4 Os 2.73, 2 Hg 2.82
Os (0.0000, 0.5000, 0.5000)  6 Os 2.72-2.82, 4 Hg 2.73
Os (0.5000, 0.0000, 0.5000)  6 Os 2.72-2.82, 4 Zn 2.73

Repeat the first record exactly.
Material: CsMgAsH12O10
Method: DFT, meta-GGA SCAN
State: PBEsol geometry

## Properties
* E_tot: -8.0572 eV/atom
* volume: 260.9 Å³/cell
* space group: F-43m (216)
* N(E_F): 0.00 states/eV/f.u.

a b c (Å): 7.1722 7.1722 7.1722
angles (deg): 60.00 60.00 60.00
Last column: nearest neighbours and their distance in Å.
Element x y z (fractional)
Cs (0.0000, 0.0000, 0.0000)  12 O 3.62, 24 H 3.68
Mg (0.7500, 0.7500, 0.7500)  6 O 2.08
As (0.5000, 0.5000, 0.5000)  4 O 1.71
H (0.1273, 0.4877, 0.4877)  1 O 1.01
H (0.1273, 0.4877, 0.8972)  1 O 1.01
H (0.1273, 0.8972, 0.4877)  1 O 1.01
H (0.4877, 0.1273, 0.4877)  1 O 1.01
H (0.4877, 0.1273, 0.8972)  1 O 1.01
H (0.4877, 0.4877, 0.1273)  1 O 1.01
H (0.4877, 0.4877, 0.8972)  1 O 1.01
H (0.4877, 0.8972, 0.1273)  1 O 1.01
H (0.4877, 0.8972, 0.4877)  1 O 1.01
H (0.8972, 0.1273, 0.4877)  1 O 1.01
H (0.8972, 0.4877, 0.1273)  1 O 1.01
H (0.8972, 0.4877, 0.4877)  1 O 1.01
O (0.4024, 0.4024, 0.4024)  3 H 1.61, 1 As 1.71
O (0.4024, 0.4024, 0.7928)  3 H 1.61, 1 As 1.71
O (0.4024, 0.7928, 0.4024)  3 H 1.61, 1 As 1.71
O (0.5450, 0.5450, 0.9550)  2 H 1.01
O (0.5450, 0.9550, 0.5450)  2 H 1.01
O (0.5450, 0.9550, 0.9550)  2 H 1.01
O (0.7928, 0.4024, 0.4024)  3 H 1.61, 1 As 1.71
O (0.9550, 0.5450, 0.5450)  2 H 1.01
O (0.9550, 0.5450, 0.9550)  2 H 1.01
O (0.9550, 0.9550, 0.5450)  2 H 1.01